# TaHgBr3 (PBE-GGA, relaxed)
# * calculated total energy: -2.46 eV per atom
data_TaHgBr3
_chemical_formula_sum 'Ta1 Hg1 Br3'
_cell_length_a 5.503
_cell_length_b 5.503
_cell_length_c 5.503
_cell_angle_alpha 90.00
_cell_angle_beta 90.00
_cell_angle_gamma 90.00
_symmetry_space_group_name_H-M 'P m -3 m'
_symmetry_Int_Tables_number 221
_symmetry_space_group_name_Hall '-P 4 2 3'
loop_
_atom_site_label
_atom_site_type_symbol
_atom_site_fract_x
_atom_site_fract_y
_atom_site_fract_z
Ta1 Ta 0.000 0.000 0.000
Hg1 Hg 0.500 0.500 0.500
Br1 Br 0.000 0.500 0.500



# MgScNb (PBE-GGA, relaxed)
# * DFT formation energy: 106.4 meV/atom
# * calculated total energy: -5.89 eV per atom
data_MgScNb
_chemical_formula_sum 'Mg4 Sc4 Nb4'
_cell_length_a 11.049
_cell_length_b 3.386
_cell_length_c 7.202
_cell_angle_alpha 90.00
_cell_angle_beta 106.35
_cell_angle_gamma 90.00
_symmetry_space_group_name_H-M 'C 1 m 1'
_symmetry_Int_Tables_number 8
loop_
_symmetry_equiv_pos_as_xyz
'x,y,z'
'x,-y,z'
'x+1/2,y+1/2,z'
'x+1/2,-y+1/2,z'
loop_
_atom_site_label
_atom_site_type_symbol
_atom_site_fract_x
_atom_site_fract_y
_atom_site_fract_z
Mg1 Mg 0.000 0.000 0.000
Mg2 Mg 0.167 0.500 0.833
Sc1 Sc 0.148 0.500 0.380
Sc2 Sc 0.331 0.000 0.205
Nb1 Nb 0.340 0.000 0.666
Nb2 Nb 0.476 0.500 0.534



# NdTh2Os (PBE-GGA, relaxed)
# * DFT formation energy: -86.4 meV/atom
# * calculated total energy: -7.80 eV per atom
data_NdTh2Os
_chemical_formula_sum 'Nd3 Th6 Os3'
_cell_length_a 4.0965
_cell_length_b 4.0965
_cell_length_c 26.8232
_cell_angle_alpha 90.00
_cell_angle_beta 90.00
_cell_angle_gamma 120.00
_symmetry_space_group_name_H-M 'R 3 m'
_symmetry_Int_Tables_number 160
_symmetry_space_group_name_Hall 'R 3 -2"'
loop_
_atom_site_label
_atom_site_type_symbol
_atom_site_fract_x
_atom_site_fract_y
_atom_site_fract_z
Nd1 Nd 0.0000 0.0000 0.0000
Th1 Th 0.0000 0.0000 0.2258
Th2 Th 0.0000 0.0000 0.4438
Os1 Os 0.0000 0.0000 0.8357



# KLi2Ta (PBE-GGA, relaxed)
# * DFT formation energy: 776.7 meV/atom
# * calculated total energy: -3.42 eV per atom
data_KLi2Ta
_chemical_formula_sum 'K2 Li4 Ta2'
_cell_length_a 9.967
_cell_length_b 2.736
_cell_length_c 7.362
_cell_angle_alpha 90.00
_cell_angle_beta 92.46
_cell_angle_gamma 90.00
_symmetry_space_group_name_H-M 'C 1 2/m 1'
_symmetry_Int_Tables_number 12
loop_
_symmetry_equiv_pos_as_xyz
'x,y,z'
'-x,-y,-z'
'-x,y,-z'
'x,-y,z'
'x+1/2,y+1/2,z'
'-x+1/2,-y+1/2,-z'
'-x+1/2,y+1/2,-z'
'x+1/2,-y+1/2,z'
loop_
_atom_site_label
_atom_site_type_symbol
_atom_site_fract_x
_atom_site_fract_y
_atom_site_fract_z
K1 K 0.000 0.000 0.000
Li1 Li 0.240 0.000 0.669
Ta1 Ta 0.000 0.500 0.500



# SrAu (PBE-GGA, relaxed)
# * DFT formation energy: -628.7 meV/atom
# * calculated total energy: -3.11 eV per atom
data_SrAu
_chemical_formula_sum 'Sr8 Au8'
_cell_length_a 10.876
_cell_length_b 10.876
_cell_length_c 4.662
_cell_angle_alpha 90.00
_cell_angle_beta 90.00
_cell_angle_gamma 90.00
_symmetry_space_group_name_H-M 'I 4/m m m'
_symmetry_Int_Tables_number 139
_symmetry_space_group_name_Hall '-I 4 2'
loop_
_atom_site_label
_atom_site_type_symbol
_atom_site_fract_x
_atom_site_fract_y
_atom_site_fract_z
Sr1 Sr 0.000 0.267 0.000
Au1 Au 0.196 0.196 0.500



# Zr6RhAu (PBE-GGA, relaxed)
# * DFT formation energy: -329.0 meV/atom
# * calculated total energy: -8.07 eV per atom
data_Zr6RhAu
_chemical_formula_sum 'Zr6 Rh1 Au1'
_cell_length_a 5.483
_cell_length_b 5.492
_cell_length_c 5.494
_cell_angle_alpha 89.55
_cell_angle_beta 89.91
_cell_angle_gamma 89.21
_symmetry_space_group_name_H-M 'P -1'
_symmetry_Int_Tables_number 2
loop_
_symmetry_equiv_pos_as_xyz
'x,y,z'
'-x,-y,-z'
loop_
_atom_site_label
_atom_site_type_symbol
_atom_site_fract_x
_atom_site_fract_y
_atom_site_fract_z
Zr1 Zr 0.000 0.003 0.248
Zr2 Zr 0.248 0.499 0.501
Zr3 Zr 0.494 0.252 0.000
Rh1 Rh 0.000 0.500 0.000
Au1 Au 0.500 0.000 0.500



# Tb2ZnSe (PBE-GGA, relaxed)
# * calculated total energy: -4.57 eV per atom
data_Tb2ZnSe
_chemical_formula_sum 'Tb8 Zn4 Se4'
_cell_length_a 4.015
_cell_length_b 22.921
_cell_length_c 4.222
_cell_angle_alpha 90.00
_cell_angle_beta 90.00
_cell_angle_gamma 90.00
_symmetry_space_group_name_H-M 'C m c m'
_symmetry_Int_Tables_number 63
_symmetry_space_group_name_Hall '-C 2c 2'
loop_
_atom_site_label
_atom_site_type_symbol
_atom_site_fract_x
_atom_site_fract_y
_atom_site_fract_z
Tb1 Tb 0.000 0.069 0.250
Tb2 Tb 0.000 0.319 0.250
Zn1 Zn 0.000 0.461 0.250
Se1 Se 0.000 0.193 0.250



# Be3NCl (PBE-GGA, relaxed)
# * calculated total energy: -3.93 eV per atom
data_Be3NCl
_chemical_formula_sum 'Be3 N1 Cl1'
_cell_length_a 3.639
_cell_length_b 3.639
_cell_length_c 3.639
_cell_angle_alpha 90.00
_cell_angle_beta 90.00
_cell_angle_gamma 90.00
_symmetry_space_group_name_H-M 'P m -3 m'
_symmetry_Int_Tables_number 221
_symmetry_space_group_name_Hall '-P 4 2 3'
loop_
_atom_site_label
_atom_site_type_symbol
_atom_site_fract_x
_atom_site_fract_y
_atom_site_fract_z
Be1 Be 0.000 0.000 0.500
N1 N 0.000 0.000 0.000
Cl1 Cl 0.500 0.500 0.500



What is the calculated total energy in the seventh record? -4.57 eV per atom



Copy entry 4 word for word.
# KLi2Ta (PBE-GGA, relaxed)
# * DFT formation energy: 776.7 meV/atom
# * calculated total energy: -3.42 eV per atom
data_KLi2Ta
_chemical_formula_sum 'K2 Li4 Ta2'
_cell_length_a 9.967
_cell_length_b 2.736
_cell_length_c 7.362
_cell_angle_alpha 90.00
_cell_angle_beta 92.46
_cell_angle_gamma 90.00
_symmetry_space_group_name_H-M 'C 1 2/m 1'
_symmetry_Int_Tables_number 12
loop_
_symmetry_equiv_pos_as_xyz
'x,y,z'
'-x,-y,-z'
'-x,y,-z'
'x,-y,z'
'x+1/2,y+1/2,z'
'-x+1/2,-y+1/2,-z'
'-x+1/2,y+1/2,-z'
'x+1/2,-y+1/2,z'
loop_
_atom_site_label
_atom_site_type_symbol
_atom_site_fract_x
_atom_site_fract_y
_atom_site_fract_z
K1 K 0.000 0.000 0.000
Li1 Li 0.240 0.000 0.669
Ta1 Ta 0.000 0.500 0.500



calculated total energy of number 5 (SrAu)? -3.11 eV per atom



Please write out number 3 again, unchanged.
# NdTh2Os (PBE-GGA, relaxed)
# * DFT formation energy: -86.4 meV/atom
# * calculated total energy: -7.80 eV per atom
data_NdTh2Os
_chemical_formula_sum 'Nd3 Th6 Os3'
_cell_length_a 4.0965
_cell_length_b 4.0965
_cell_length_c 26.8232
_cell_angle_alpha 90.00
_cell_angle_beta 90.00
_cell_angle_gamma 120.00
_symmetry_space_group_name_H-M 'R 3 m'
_symmetry_Int_Tables_number 160
_symmetry_space_group_name_Hall 'R 3 -2"'
loop_
_atom_site_label
_atom_site_type_symbol
_atom_site_fract_x
_atom_site_fract_y
_atom_site_fract_z
Nd1 Nd 0.0000 0.0000 0.0000
Th1 Th 0.0000 0.0000 0.2258
Th2 Th 0.0000 0.0000 0.4438
Os1 Os 0.0000 0.0000 0.8357